DFT (PBE) results for an optimized crystal structure of DyErLu2In2.

Unit cell a=5.2961 b=5.2961 c=6.6389 alpha=90.00 beta=90.00 gamma=120.00
Fractional positions:
Dy 0.6667 0.3333 0.0000
Er 0.3333 0.6667 0.5000
In 0.3333 0.6667 0.0000
In 0.6667 0.3333 0.5000
Lu 0.0000 0.0000 0.2511
Lu 0.0000 0.0000 0.7489

Results
- Raw total energy: -4.288 eV per atom
- Spin magnetization: 0.03 Bohr magnetons per cell



DFT (PBE) results for an optimized crystal structure of PuAlGe.

Unit cell a=4.7326 b=4.7326 c=4.7326 alpha=60.00 beta=60.00 gamma=60.00
Each line ends with the local moment (μB).
Fractional positions:
Al 0.2500 0.2500 0.2500  0.03
Ge 0.7500 0.7500 0.7500  -0.07
Pu 0.0000 0.0000 0.0000  5.13

Results
- Raw total energy: -7.378 eV per atom
- Spin magnetization: 5.26 Bohr magnetons per cell



DFT (PBE) results for an optimized crystal structure of KHoSeO.

Unit cell a=4.5102 b=8.1803 c=6.5343 alpha=90.00 beta=90.00 gamma=90.00
Fractional positions:
Ho 0.5000 0.8790 0.0357
Ho 0.5000 0.1210 0.5357
K 0.0000 0.2974 0.1144
K 0.0000 0.7026 0.6144
O 0.5000 0.0893 0.2170
O 0.5000 0.9107 0.7170
Se 0.0000 0.6996 0.1239
Se 0.0000 0.3004 0.6239

Results
- Energy above the lowest structure with this stoichiometry: 99 meV per atom
- Spin magnetization: 0.00 Bohr magnetons per cell



DFT (PBE) results for an optimized crystal structure of NbCoSiW.

Unit cell a=4.3264 b=4.3264 c=4.3264 alpha=60.00 beta=60.00 gamma=60.00
Fractional positions:
Co 0.7500 0.7500 0.7500
Nb 0.5000 0.5000 0.5000
Si 0.0000 0.0000 0.0000
W 0.2500 0.2500 0.2500

Results
- Energy above the lowest structure with this stoichiometry: 0 meV per atom
- Spin magnetization: 0.01 Bohr magnetons per cell



DFT (PBE) results for an optimized crystal structure of PmReAs.

Unit cell a=4.5595 b=4.5595 c=4.5595 alpha=60.00 beta=60.00 gamma=60.00
Fractional positions:
As 0.0000 0.0000 0.0000
Pm 0.2500 0.2500 0.2500
Re 0.7500 0.7500 0.7500

Results
- Energy above the lowest structure with this stoichiometry: 0 meV per atom
- Spin magnetization: 1.37 Bohr magnetons per cell



DFT (PBE) results for an optimized crystal structure of CsNbP2O7.

Unit cell a=5.7893 b=5.7893 c=5.4989 alpha=91.45 beta=91.45 gamma=101.65
Each line ends with the local moment (μB).
Fractional positions:
Cs 0.1454 0.8546 0.0000  0.00
Nb 0.5288 0.4712 0.5000  1.67
O 0.6581 0.7435 0.2544  0.01
O 0.1605 0.4509 0.3301  0.01
O 0.5470 0.1418 0.3306  0.01
O 0.9367 0.0633 0.5000  0.01
O 0.8582 0.4530 0.6694  0.01
O 0.5491 0.8395 0.6699  0.02
O 0.2565 0.3419 0.7456  0.00
P 0.6594 0.9494 0.4396  0.01
P 0.0506 0.3406 0.5604  0.01

Results
- Raw total energy: -7.261 eV per atom
- Spin magnetization: 2.00 Bohr magnetons per cell



DFT (PBE) results for an optimized crystal structure of CsLuBAu.

Unit cell a=5.2022 b=5.2022 c=5.2022 alpha=60.00 beta=60.00 gamma=60.00
Fractional positions:
Au 0.7500 0.7500 0.7500
B 0.2500 0.2500 0.2500
Cs 0.0000 0.0000 0.0000
Lu 0.5000 0.5000 0.5000

Results
- Energy above the lowest structure with this stoichiometry: 0 meV per atom
- Spin magnetization: 0.10 Bohr magnetons per cell



DFT (PBE) results for an optimized crystal structure of RbReTe4Au3.

Unit cell a=6.8344 b=6.8344 c=6.8344 alpha=90.00 beta=90.00 gamma=90.00
Fractional positions:
Au 0.5000 0.5000 0.0000
Au 0.5000 0.0000 0.5000
Au 0.0000 0.5000 0.5000
Rb 0.0000 0.0000 0.0000
Re 0.5000 0.5000 0.5000
Te 0.2847 0.2847 0.2847
Te 0.7153 0.7153 0.2847
Te 0.7153 0.2847 0.7153
Te 0.2847 0.7153 0.7153

Results
- Raw total energy: -3.900 eV per atom
- Spin magnetization: 0.02 Bohr magnetons per cell